[1]
Material: PmScBiSb
Method: DFT, PBE
State: relaxed

```
data_PmScBiSb
_symmetry_space_group_name_H-M 'R -3 m'
_symmetry_Int_Tables_number 166
_symmetry_space_group_name_Hall '-R 3 2"'
_cell_length_a 5.2548
_cell_length_b 5.2548
_cell_length_c 34.0276
_cell_angle_alpha 90.00
_cell_angle_beta 90.00
_cell_angle_gamma 120.00
loop_
_atom_site_label
_atom_site_fract_x
_atom_site_fract_y
_atom_site_fract_z
Pm1 0.0000 0.0000 0.1151
Sc1 0.0000 0.0000 0.2917
Bi1 0.0000 0.0000 0.3804
Sb1 0.0000 0.0000 0.2062
```

Computed properties:
M_tot = 0.0 μB per cell
formation energy from raw total energies = -638 meV per atom


[2]
Material: Pm6Bi3Sb2Se
Method: DFT, PBE
State: relaxed

```
data_Pm6Bi3Sb2Se
_symmetry_space_group_name_H-M 'C 1 2/m 1'
_symmetry_Int_Tables_number 12
_symmetry_space_group_name_Hall '-C 2y'
_cell_length_a 19.5551
_cell_length_b 4.4934
_cell_length_c 8.9902
_cell_angle_alpha 90.00
_cell_angle_beta 103.29
_cell_angle_gamma 90.00
loop_
_atom_site_label
_atom_site_fract_x
_atom_site_fract_y
_atom_site_fract_z
Pm1 0.0001 0.0000 0.2417
Pm2 0.1618 0.5000 0.0849
Pm3 0.1678 0.5000 0.5800
Bi1 0.0000 0.5000 0.5000
Bi2 0.1679 0.0000 0.8349
Sb1 0.1654 0.0000 0.3317
Se1 0.0000 0.5000 0.0000
```

Computed properties:
M_tot = 0.0 μB per cell
formation energy from raw total energies = -1171 meV per atom